First-principles (SCAN) data for a crystal of Ti2BeBiMo relaxed with PBEsol, as listed in the Alexandria database.

Energy of formation from the pure elements, kJ/mol of atoms: 107.88
Magnetization, μB per formula unit: 0.0

a b c (Å): 4.630 4.630 5.244
angles (deg): 90.00 90.00 90.00
Space group P4/mmm (No. 123)
Symmetry-distinct sites (fractional):
Ti 0.000 0.500 0.000 (multiplicity 2)
Be 0.000 0.000 0.500 (multiplicity 1)
Bi 0.500 0.500 0.500 (multiplicity 1)
Mo 0.500 0.500 0.000 (multiplicity 1)